Record 1
A geometry-optimized AcHo3Zn4 structure, computed with PBE.

Cell: 5.138 5.138 7.333 Å, 90.00 90.00 90.00°
Fractional coordinates of all 8 atoms:
Ac 0.000 0.000 0.000
Ho 0.000 0.000 0.500
Ho 0.500 0.500 0.000
Ho 0.500 0.500 0.500
Zn 0.000 0.500 0.274
Zn 0.000 0.500 0.726
Zn 0.500 0.000 0.274
Zn 0.500 0.000 0.726

Computed properties:
Volume: 24.20 Å³/atom
ΔE_f: -282 meV/atom
Size of the total moment: 0.00 μB per cell
DOS at the Fermi energy: 7.8 states/eV/cell
Calculated density: 8.44 Mg/m³

Record 2
A geometry-optimized Ac2HoZn3 structure, computed with PBE.

Cell: 3.776 3.776 11.451 Å, 90.00 90.00 90.00°
Fractional coordinates of all 6 atoms:
Ac 0.000 0.000 0.178
Ac 0.000 0.000 0.822
Ho 0.000 0.000 0.500
Zn 0.500 0.500 0.000
Zn 0.500 0.500 0.366
Zn 0.500 0.500 0.634

Computed properties:
Volume: 27.21 Å³/atom
ΔE_f: -252 meV/atom
Size of the total moment: 0.00 μB per cell
DOS at the Fermi energy: 7.2 states/eV/cell
Calculated density: 8.29 Mg/m³

Record 3
A geometry-optimized AcHo4Zn5 structure, computed with PBE.

Cell: 3.619 3.619 18.161 Å, 90.00 90.00 90.00°
Fractional coordinates of all 10 atoms:
Ac 0.000 0.000 0.000
Ho 0.000 0.000 0.212
Ho 0.000 0.000 0.405
Ho 0.000 0.000 0.595
Ho 0.000 0.000 0.788
Zn 0.500 0.500 0.122
Zn 0.500 0.500 0.307
Zn 0.500 0.500 0.500
Zn 0.500 0.500 0.693
Zn 0.500 0.500 0.878

Computed properties:
Volume: 23.78 Å³/atom
ΔE_f: -307 meV/atom
Size of the total moment: 0.00 μB per cell
DOS at the Fermi energy: 10.7 states/eV/cell
Calculated density: 8.48 Mg/m³

Record 4
A geometry-optimized AcHo2Zn6 structure, computed with PBE.

Cell: 7.902 7.902 3.616 Å, 90.00 90.00 120.00°
Fractional coordinates of all 9 atoms:
Ac 0.000 0.000 0.000
Ho 0.333 0.667 0.000
Ho 0.667 0.333 0.000
Zn 0.000 0.342 0.500
Zn 0.000 0.658 0.500
Zn 0.342 0.000 0.500
Zn 0.342 0.342 0.500
Zn 0.658 0.000 0.500
Zn 0.658 0.658 0.500

Computed properties:
Volume: 21.73 Å³/atom
ΔE_f: -317 meV/atom
Size of the total moment: 0.00 μB per cell
DOS at the Fermi energy: 7.3 states/eV/cell
Calculated density: 8.06 Mg/m³

Record 5
A geometry-optimized AcHoZn structure, computed with PBE.

Cell: 3.823 3.823 15.306 Å, 97.18 97.18 59.83°
Fractional coordinates of all 6 atoms:
Ac 0.127 0.127 0.384
Ac 0.873 0.873 0.616
Ho 0.364 0.364 0.092
Ho 0.636 0.636 0.908
Zn 0.259 0.259 0.776
Zn 0.741 0.741 0.224

Computed properties:
Volume: 31.89 Å³/atom
ΔE_f: -29 meV/atom
Size of the total moment: 0.00 μB per cell
Energy relative to the lowest polymorph listed for this composition: 126 meV/atom
DOS at the Fermi energy: 6.0 states/eV/cell
Calculated density: 7.94 Mg/m³

Record 6
A geometry-optimized Ac3HoZn4 structure, computed with PBE.

Cell: 3.818 3.818 15.285 Å, 90.00 90.00 90.00°
Fractional coordinates of all 8 atoms:
Ac 0.000 0.000 0.000
Ac 0.000 0.000 0.262
Ac 0.000 0.000 0.738
Ho 0.000 0.000 0.500
Zn 0.500 0.500 0.129
Zn 0.500 0.500 0.401
Zn 0.500 0.500 0.599
Zn 0.500 0.500 0.871

Computed properties:
Volume: 27.86 Å³/atom
ΔE_f: -248 meV/atom
Size of the total moment: 0.00 μB per cell
DOS at the Fermi energy: 9.2 states/eV/cell
Calculated density: 8.25 Mg/m³

Record 7
A geometry-optimized AcHoZr structure, computed with PBE.

Cell: 3.582 3.582 8.530 Å, 90.00 90.00 120.00°
Fractional coordinates of all 3 atoms:
Ac 0.000 0.000 0.000
Ho 0.333 0.667 0.628
Zr 0.667 0.333 0.326

Computed properties:
Volume: 31.59 Å³/atom
ΔE_f: 219 meV/atom
Size of the total moment: 0.00 μB per cell
Energy relative to the lowest polymorph listed for this composition: 147 meV/atom
DOS at the Fermi energy: 2.9 states/eV/cell
Calculated density: 8.47 Mg/m³

Record 8
A geometry-optimized AcHo2Zr structure, computed with PBE.

Cell: 4.962 4.962 5.053 Å, 90.00 90.00 90.00°
Fractional coordinates of all 4 atoms:
Ac 0.000 0.000 0.000
Ho 0.000 0.500 0.500
Ho 0.500 0.000 0.500
Zr 0.500 0.500 0.000

Computed properties:
Volume: 31.11 Å³/atom
ΔE_f: 163 meV/atom
Size of the total moment: 0.00 μB per cell
Energy relative to the lowest polymorph listed for this composition: 6 meV/atom
DOS at the Fermi energy: 4.9 states/eV/cell
Calculated density: 8.65 Mg/m³

Record 9
A geometry-optimized Ac2HoZr structure, computed with PBE.

Cell: 5.282 5.282 4.913 Å, 90.00 90.00 90.00°
Fractional coordinates of all 4 atoms:
Ac 0.000 0.500 0.000
Ac 0.500 0.000 0.000
Ho 0.000 0.000 0.500
Zr 0.500 0.500 0.500

Computed properties:
Volume: 34.27 Å³/atom
ΔE_f: 211 meV/atom
Size of the total moment: 0.00 μB per cell
Energy relative to the lowest polymorph listed for this composition: 0 meV/atom
DOS at the Fermi energy: 4.0 states/eV/cell
Calculated density: 8.60 Mg/m³

Record 10
A geometry-optimized AcHoZr structure, computed with PBE.

Cell: 3.862 3.862 13.237 Å, 90.00 90.00 90.00°
Fractional coordinates of all 6 atoms:
Ac 0.250 0.250 0.109
Ac 0.750 0.750 0.891
Ho 0.250 0.250 0.692
Ho 0.750 0.750 0.308
Zr 0.250 0.250 0.451
Zr 0.750 0.750 0.549

Computed properties:
Volume: 32.90 Å³/atom
ΔE_f: 72 meV/atom
Size of the total moment: 0.00 μB per cell
Energy relative to the lowest polymorph listed for this composition: 0 meV/atom
DOS at the Fermi energy: 9.4 states/eV/cell
Calculated density: 8.13 Mg/m³

Record 11
A geometry-optimized AcHoZr2 structure, computed with PBE.

Cell: 12.056 12.056 12.056 Å, 16.12 16.12 16.12°
Fractional coordinates of all 4 atoms:
Ac 0.000 0.000 0.000
Ho 0.500 0.500 0.500
Zr 0.092 0.092 0.092
Zr 0.908 0.908 0.908

Computed properties:
Volume: 29.44 Å³/atom
ΔE_f: 398 meV/atom
Size of the total moment: 0.00 μB per cell
DOS at the Fermi energy: 6.2 states/eV/cell
Calculated density: 8.10 Mg/m³

Record 12
A geometry-optimized AcHo2Zr structure, computed with PBE.

Cell: 11.677 11.677 11.677 Å, 17.58 17.58 17.58°
Fractional coordinates of all 4 atoms:
Ac 0.000 0.000 0.000
Ho 0.242 0.242 0.242
Ho 0.426 0.426 0.426
Zr 0.834 0.834 0.834

Computed properties:
Volume: 31.68 Å³/atom
ΔE_f: 157 meV/atom
Size of the total moment: 0.00 μB per cell
Energy relative to the lowest polymorph listed for this composition: 0 meV/atom
DOS at the Fermi energy: 5.8 states/eV/cell
Calculated density: 8.49 Mg/m³